# U5Ru

U5Ru after structural relaxation (PBE, the Alexandria database).

The calculation puts the formation energy at 19 meV/atom.

The space group is Cmmm (No. 65) and the conventional cell measures 5.0732, 15.2110 and 3.0114 Å, with angles of 90.00, 90.00 and 90.00 degrees. The inequivalent atoms are U at (0.0000, 0.0000, 0.0000), U at (0.0000, 0.1588, 0.5000), U at (0.0000, 0.3319, 0.0000) and Ru at (0.0000, 0.5000, 0.5000).